(1)
Er4BeCu3 | PBE-GGA | relaxed

Cell and atoms, written as POSCAR:
```
Er4BeCu3
1.0
3.4086 0.0000 0.0000
0.0000 3.4086 0.0000
0.0000 0.0000 13.7496
Er Be Cu
4 1 3
direct
0.0000 0.0000 0.1206
0.0000 0.0000 0.3730
0.0000 0.0000 0.6270
0.0000 0.0000 0.8794
0.5000 0.5000 0.0000
0.5000 0.5000 0.2451
0.5000 0.5000 0.5000
0.5000 0.5000 0.7549
```

Output
Symmetry: P4/mmm
ΔE_f, meV per atom: -191.3
Total magnetic moment, μB per atom: 0.000

(2)
CsTl2NiAg | PBE-GGA | relaxed

Cell and atoms, written as POSCAR:
```
CsTl2NiAg
1.0
5.1605 0.0000 0.0000
0.0000 5.1605 0.0000
0.0000 0.0000 5.5203
Cs Tl Ni Ag
1 2 1 1
direct
0.0000 0.0000 0.0000
0.0000 0.5000 0.5000
0.5000 0.0000 0.5000
0.5000 0.5000 0.5000
0.5000 0.5000 0.0000
```

Output
Symmetry: P4/mmm
ΔE_f, meV per atom: 111.3
Total magnetic moment, μB per atom: 0.000

(3)
SrRu2Cl | PBE-GGA | relaxed

Cell and atoms, written as POSCAR:
```
SrRu2Cl
1.0
3.5052 -1.9498 0.0000
3.5052 1.9498 0.0000
-1.5860 0.0000 7.1150
Sr Ru Cl
1 2 1
direct
0.0000 0.0000 0.0000
0.3968 0.3968 0.3038
0.7453 0.7453 0.3923
0.2664 0.2664 0.7340
```

Output
ΔE to the lowest computed polymorph, meV per atom: 0.0
Symmetry: Cm
Total magnetic moment, μB per atom: 0.000

(4)
CsRb2Zr | PBE-GGA | relaxed

Cell and atoms, written as POSCAR:
```
CsRb2Zr
1.0
0.0000 4.9426 4.9426
4.9426 0.0000 4.9426
4.9426 4.9426 0.0000
Cs Rb Zr
1 2 1
direct
0.0000 0.0000 0.0000
0.2500 0.2500 0.2500
0.7500 0.7500 0.7500
0.5000 0.5000 0.5000
```

Output
Symmetry: Fm-3m
ΔE_f, meV per atom: 1014.0
Total magnetic moment, μB per atom: 0.951

(5)
LiFe2BiS | PBE-GGA | relaxed

Cell and atoms, written as POSCAR:
```
LiFe2BiS
1.0
5.0603 0.0000 0.0000
0.0000 5.0603 0.0000
0.0000 0.0000 5.0880
Li Fe Bi S
1 2 1 1
direct
0.0000 0.0000 0.0000
0.0000 0.5000 0.5000
0.5000 0.0000 0.5000
0.0000 0.0000 0.5000
0.5000 0.5000 0.0000
```

Output
Symmetry: P4/mmm
Energy, eV/cell: -21.56
Total magnetic moment, μB per atom: 1.582

(6)
PaCu2Pt2 | PBE-GGA | relaxed

Cell and atoms, written as POSCAR:
```
PaCu2Pt2
1.0
-1.8427 1.8427 6.4950
1.8427 -1.8427 6.4950
1.8427 1.8427 -6.4950
Pa Cu Pt
1 2 2
direct
0.0000 0.0000 0.0000
0.2500 0.7500 0.5000
0.7500 0.2500 0.5000
0.3948 0.3948 0.0000
0.6052 0.6052 0.0000
```

Output
ΔE to the lowest computed polymorph, meV per atom: 0.0
Symmetry: I4/mmm
ΔE_f, meV per atom: -514.5
Total magnetic moment, μB per atom: 0.000

(7)
Bi2SbS | PBE-GGA | relaxed

Cell and atoms, written as POSCAR:
```
Bi2SbS
1.0
2.2578 1.3036 6.5654
-2.2578 1.3036 6.5654
0.0000 -2.6071 6.5654
Bi Sb S
2 1 1
direct
0.2429 0.2429 0.2429
0.7571 0.7571 0.7571
0.0000 0.0000 0.0000
0.5000 0.5000 0.5000
```

Output
ΔE to the lowest computed polymorph, meV per atom: 0.0
Symmetry: R-3m
Total magnetic moment, μB per atom: 0.000

(8)
TbHoGeS | PBE-GGA | relaxed

Cell and atoms, written as POSCAR:
```
TbHoGeS
1.0
2.0200 1.1662 6.6353
-2.0200 1.1662 6.6353
0.0000 -2.3325 6.6353
Tb Ho Ge S
1 1 1 1
direct
0.0000 0.0000 0.0000
0.5001 0.5001 0.5001
0.2493 0.2493 0.2493
0.7510 0.7510 0.7510
```

Output
Symmetry: R3m
Energy, eV/cell: -23.76
Total magnetic moment, μB per atom: 0.000

Please write out number 2 again, unchanged.
CsTl2NiAg | PBE-GGA | relaxed

Cell and atoms, written as POSCAR:
```
CsTl2NiAg
1.0
5.1605 0.0000 0.0000
0.0000 5.1605 0.0000
0.0000 0.0000 5.5203
Cs Tl Ni Ag
1 2 1 1
direct
0.0000 0.0000 0.0000
0.0000 0.5000 0.5000
0.5000 0.0000 0.5000
0.5000 0.5000 0.5000
0.5000 0.5000 0.0000
```

Output
Symmetry: P4/mmm
ΔE_f, meV per atom: 111.3
Total magnetic moment, μB per atom: 0.000